<P>
Entry from the Alexandria database: an optimized crystal structure of TlPS2Br (PBE-GGA).

a = 5.0441 Å, b = 5.0441 Å, c = 5.5108 Å
α = 90.00°, β = 90.00°, γ = 90.00°
Last column: nearest neighbours and their distance in Å.
Space group P4/mmm (No. 123)
Asymmetric unit:
Tl (0.0000, 0.0000, 0.0000) (multiplicity 1)  4 S 2.52, 2 P 2.76
P (0.0000, 0.0000, 0.5000) (multiplicity 1)  2 Tl 2.76
S (0.0000, 0.5000, 0.0000) (multiplicity 2)  2 Tl 2.52
Br (0.5000, 0.5000, 0.5000) (multiplicity 1)  4 P 3.57, 8 S 3.74

Summary:
Size of the total moment: 0.03 μB per formula unit
Crystal system: tetragonal

<Q>
Entry from the Alexandria database: an optimized crystal structure of TlPS2Br (PBE-GGA).

a = 4.9987 Å, b = 4.9987 Å, c = 5.0646 Å
α = 90.00°, β = 90.00°, γ = 90.00°
Last column: nearest neighbours and their distance in Å.
Space group P4/mmm (No. 123)
Asymmetric unit:
Tl (0.0000, 0.0000, 0.0000) (multiplicity 1)  4 P 3.53, 8 S 3.56
P (0.5000, 0.5000, 0.0000) (multiplicity 1)  2 Br 2.53
S (0.0000, 0.5000, 0.5000) (multiplicity 2)  2 Br 2.50
Br (0.5000, 0.5000, 0.5000) (multiplicity 1)  4 S 2.50, 2 P 2.53

Summary:
Size of the total moment: 0.81 μB per formula unit
Crystal system: tetragonal

Name the least stable of them. <P>.

<P>
Entry from the Alexandria database: an optimized crystal structure of PWS2Br (PBE-GGA).

a = 4.5977 Å, b = 4.5977 Å, c = 5.0107 Å
α = 90.00°, β = 90.00°, γ = 90.00°
Last column: nearest neighbours and their distance in Å.
Space group P4/mmm (No. 123)
Asymmetric unit:
P (0.0000, 0.0000, 0.0000) (multiplicity 1)  2 W 2.51
W (0.0000, 0.0000, 0.5000) (multiplicity 1)  4 S 2.30, 2 P 2.51
S (0.0000, 0.5000, 0.5000) (multiplicity 2)  2 W 2.30
Br (0.5000, 0.5000, 0.0000) (multiplicity 1)  4 P 3.25, 8 S 3.40

Summary:
Size of the total moment: 0.00 μB per formula unit
Crystal system: tetragonal

<Q>
Entry from the Alexandria database: an optimized crystal structure of PWS2Br (PBE-GGA).

a = 4.6861 Å, b = 4.6861 Å, c = 4.8220 Å
α = 90.00°, β = 90.00°, γ = 90.00°
Last column: nearest neighbours and their distance in Å.
Space group P4/mmm (No. 123)
Asymmetric unit:
P (0.0000, 0.0000, 0.0000) (multiplicity 1)  2 Br 2.41
W (0.5000, 0.5000, 0.0000) (multiplicity 1)  4 P 3.31, 8 S 3.36
S (0.0000, 0.5000, 0.5000) (multiplicity 2)  2 Br 2.34
Br (0.0000, 0.0000, 0.5000) (multiplicity 1)  4 S 2.34, 2 P 2.41

Summary:
Size of the total moment: 2.61 μB per formula unit
Crystal system: tetragonal

Name the least stable of them. <Q>.

<P>
Entry from the Alexandria database: an optimized crystal structure of P2WSBr (PBE-GGA).

a = 4.6895 Å, b = 4.6895 Å, c = 4.6751 Å
α = 90.00°, β = 90.00°, γ = 90.00°
Last column: nearest neighbours and their distance in Å.
Space group P4/mmm (No. 123)
Asymmetric unit:
P (0.0000, 0.5000, 0.0000) (multiplicity 2)  2 Br 2.34
W (0.0000, 0.0000, 0.5000) (multiplicity 1)  8 P 3.31, 4 S 3.32
S (0.5000, 0.5000, 0.5000) (multiplicity 1)  2 Br 2.34
Br (0.5000, 0.5000, 0.0000) (multiplicity 1)  2 S 2.34, 4 P 2.34

Summary:
Size of the total moment: 2.09 μB per formula unit
Crystal system: tetragonal

<Q>
Entry from the Alexandria database: an optimized crystal structure of P2WSBr (PBE-GGA).

a = 4.8134 Å, b = 4.8134 Å, c = 4.5663 Å
α = 90.00°, β = 90.00°, γ = 90.00°
Last column: nearest neighbours and their distance in Å.
Space group P4/mmm (No. 123)
Asymmetric unit:
P (0.0000, 0.5000, 0.0000) (multiplicity 2)  2 W 2.41
W (0.0000, 0.0000, 0.0000) (multiplicity 1)  2 S 2.28, 4 P 2.41
S (0.0000, 0.0000, 0.5000) (multiplicity 1)  2 W 2.28
Br (0.5000, 0.5000, 0.5000) (multiplicity 1)  8 P 3.32, 4 S 3.40

Summary:
Size of the total moment: 0.00 μB per formula unit
Crystal system: tetragonal

Name the least stable of them. <P>.

<P>
Entry from the Alexandria database: an optimized crystal structure of ZrPS2Br (PBE-GGA).

a = 4.8814 Å, b = 4.8814 Å, c = 5.4388 Å
α = 90.00°, β = 90.00°, γ = 90.00°
Last column: nearest neighbours and their distance in Å.
Space group P4/mmm (No. 123)
Asymmetric unit:
Zr (0.0000, 0.0000, 0.0000) (multiplicity 1)  4 S 2.44, 2 P 2.72
P (0.0000, 0.0000, 0.5000) (multiplicity 1)  2 Zr 2.72
S (0.0000, 0.5000, 0.0000) (multiplicity 2)  2 Zr 2.44
Br (0.5000, 0.5000, 0.5000) (multiplicity 1)  4 P 3.45, 8 S 3.65

Summary:
Size of the total moment: 0.00 μB per formula unit
Crystal system: tetragonal

<Q>
Entry from the Alexandria database: an optimized crystal structure of ZrPS2Br (PBE-GGA).

a = 4.7256 Å, b = 4.7256 Å, c = 4.7821 Å
α = 90.00°, β = 90.00°, γ = 90.00°
Last column: nearest neighbours and their distance in Å.
Space group P4/mmm (No. 123)
Asymmetric unit:
Zr (0.0000, 0.0000, 0.0000) (multiplicity 1)  4 P 3.34, 8 S 3.36
P (0.5000, 0.5000, 0.0000) (multiplicity 1)  2 Br 2.39
S (0.0000, 0.5000, 0.5000) (multiplicity 2)  2 Br 2.36
Br (0.5000, 0.5000, 0.5000) (multiplicity 1)  4 S 2.36, 2 P 2.39

Summary:
Size of the total moment: 0.00 μB per formula unit
Crystal system: tetragonal

Name the least stable of them. <Q>.

<P>
Entry from the Alexandria database: an optimized crystal structure of SbPBr (PBE-GGA).

a = 3.7040 Å, b = 3.7040 Å, c = 13.3978 Å
α = 90.00°, β = 90.00°, γ = 90.00°
Last column: nearest neighbours and their distance in Å.
Space group I4mm (No. 107)
Asymmetric unit:
Sb (0.0000, 0.0000, 0.0000) (multiplicity 2)  1 Br 2.54, 4 P 2.72
P (0.0000, 0.0000, 0.5552) (multiplicity 2)  4 Sb 2.72
Br (0.0000, 0.0000, 0.8106) (multiplicity 2)  1 Sb 2.54

Summary:
Size of the total moment: 0.00 μB per formula unit
Crystal system: tetragonal

<Q>
Entry from the Alexandria database: an optimized crystal structure of SbPBr (PBE-GGA).

a = 6.8991 Å, b = 6.8991 Å, c = 6.8991 Å
α = 90.00°, β = 90.00°, γ = 90.00°
Last column: nearest neighbours and their distance in Å.
Space group F-43m (No. 216)
Asymmetric unit:
Sb (0.0000, 0.0000, 0.0000) (multiplicity 4)  4 Br 2.99, 4 P 2.99
P (0.2500, 0.2500, 0.7500) (multiplicity 4)  4 Sb 2.99
Br (0.2500, 0.2500, 0.2500) (multiplicity 4)  4 Sb 2.99

Summary:
Size of the total moment: 0.00 μB per formula unit
Crystal system: cubic

Name the least stable of them. <Q>.

<P>
Entry from the Alexandria database: an optimized crystal structure of SbPBr (PBE-GGA).

a = 3.8558 Å, b = 3.8558 Å, c = 6.4121 Å
α = 90.00°, β = 90.00°, γ = 120.00°
Last column: nearest neighbours and their distance in Å.
Space group P3m1 (No. 156)
Asymmetric unit:
Sb (0.0000, 0.0000, 0.0000) (multiplicity 1)  3 P 2.61
P (0.3333, 0.6667, 0.7869) (multiplicity 1)  3 Sb 2.61
Br (0.6667, 0.3333, 0.3349) (multiplicity 1)  3 Sb 3.09

Summary:
Size of the total moment: 0.00 μB per formula unit
Crystal system: trigonal

<Q>
Entry from the Alexandria database: an optimized crystal structure of SbPBr (PBE-GGA).

a = 4.9388 Å, b = 4.9388 Å, c = 3.2197 Å
α = 90.00°, β = 90.00°, γ = 120.00°
Last column: nearest neighbours and their distance in Å.
Space group P3m1 (No. 156)
Asymmetric unit:
Sb (0.0000, 0.0000, 0.0000) (multiplicity 1)  3 P 2.85
P (0.3333, 0.6667, 0.0001) (multiplicity 1)  3 Sb 2.85
Br (0.6667, 0.3333, 0.4980) (multiplicity 1)  2 Br 3.22, 6 P 3.27-3.28, 6 Sb 3.27-3.28

Summary:
Size of the total moment: 0.00 μB per formula unit
Crystal system: trigonal

<R>
Entry from the Alexandria database: an optimized crystal structure of SbPBr (PBE-GGA).

a = 3.6658 Å, b = 9.7992 Å, c = 13.5039 Å
α = 90.00°, β = 90.00°, γ = 90.00°
Last column: nearest neighbours and their distance in Å.
Space group Fmm2 (No. 42)
Asymmetric unit:
Sb (0.0000, 0.0000, 0.0000) (multiplicity 4)  2 P 2.47
P (0.0000, 0.0000, 0.3773) (multiplicity 4)  2 Sb 2.47
Br (0.0000, 0.0000, 0.6800) (multiplicity 4)  2 Sb 3.04, 2 P 3.23

Summary:
Size of the total moment: 0.00 μB per formula unit
Crystal system: orthorhombic

Name the least stable of them. <Q>.